[1]
Sc2TlW: optimized geometry, GGA-PBE.

Cell lengths 3.0062, 5.0931, 5.3688 Å; angles 90.00, 90.00, 90.00 degrees
Last column: nearest neighbours and their distance in Å.
Sites, in units of the cell vectors:
1 Sc 0.0000 0.0000 0.0000  4 Sc 3.01-3.17, 4 W 3.01-3.14, 4 Tl 3.09
2 Sc 0.0000 0.5000 0.3518  4 Tl 2.98-3.17, 4 Sc 3.01-3.17, 4 W 3.04
3 Tl 0.5000 0.5000 0.8311  8 Sc 2.98-3.17, 2 Tl 3.01, 2 W 3.15
4 W 0.5000 0.0000 0.4860  2 W 3.01, 8 Sc 3.01-3.14, 2 Tl 3.15

Computed properties:
The total magnetic moment is 0.00 μB per formula unit. The calculation puts the relative energy among the computed polymorphs at 126 meV per atom. The value obtained for the density of states at the Fermi level is 1.008 states/eV/atom.

[2]
Sc2TlW: optimized geometry, GGA-PBE.

Cell lengths 4.8554, 4.8554, 4.8554 Å; angles 60.00, 60.00, 60.00 degrees
Last column: nearest neighbours and their distance in Å.
Sites, in units of the cell vectors:
1 Sc 0.0000 0.0000 0.0000  4 W 2.97, 4 Sc 2.97
2 Sc 0.2500 0.2500 0.2500  4 Tl 2.97, 4 Sc 2.97
3 Tl 0.5000 0.5000 0.5000  4 W 2.97, 4 Sc 2.97
4 W 0.7500 0.7500 0.7500  4 Tl 2.97, 4 Sc 2.97

Computed properties:
The total magnetic moment is 1.05 μB per formula unit. The calculation puts the relative energy among the computed polymorphs at 345 meV per atom. The value obtained for the density of states at the Fermi level is 1.107 states/eV/atom.

[3]
ScTl2W: optimized geometry, GGA-PBE.

Cell lengths 3.0509, 3.0509, 9.6446 Å; angles 90.00, 90.00, 107.98 degrees
Last column: nearest neighbours and their distance in Å.
Sites, in units of the cell vectors:
1 Sc 0.0000 0.0000 0.0000  4 Sc 3.05, 4 Tl 3.08
2 Tl 0.5000 0.5000 0.2594  2 W 2.93, 4 Tl 3.05, 2 Sc 3.08
3 Tl 0.5000 0.5000 0.7406  2 W 2.93, 4 Tl 3.05, 2 Sc 3.08
4 W 0.0000 0.0000 0.5000  4 Tl 2.93, 4 W 3.05

Computed properties:
The total magnetic moment is 0.00 μB per formula unit. The calculation puts the relative energy among the computed polymorphs at 111 meV per atom. The value obtained for the density of states at the Fermi level is 0.638 states/eV/atom.

[4]
ScTlW2: optimized geometry, GGA-PBE.

Cell lengths 2.8618, 2.8618, 9.2855 Å; angles 90.00, 90.00, 90.00 degrees
Last column: nearest neighbours and their distance in Å.
Sites, in units of the cell vectors:
1 Sc 0.0000 0.0000 0.0000  4 Sc 2.86, 4 W 2.98
2 Tl 0.5000 0.5000 0.2750  4 Tl 2.86, 4 W 3.10
3 W 0.0000 0.0000 0.5283  8 W 2.86-2.99, 4 Tl 3.10
4 W 0.5000 0.5000 0.7650  8 W 2.86-2.99, 4 Sc 2.98

Computed properties:
The total magnetic moment is 0.00 μB per formula unit. Its raw total energy is -8.115 eV per atom. The value obtained for the density of states at the Fermi level is 0.966 states/eV/atom.

[5]
ScTl2W: optimized geometry, GGA-PBE.

Cell lengths 3.7457, 3.7457, 6.1689 Å; angles 90.00, 90.00, 90.00 degrees
Last column: nearest neighbours and their distance in Å.
Sites, in units of the cell vectors:
1 Sc 0.0000 0.0000 0.0000  5 Tl 2.83-3.14, 4 W 2.94
2 Tl 0.0000 0.0000 0.5409  1 Sc 2.83, 4 W 3.07, 4 Tl 3.12
3 Tl 0.5000 0.5000 0.2734  2 W 2.97-3.20, 4 Tl 3.12, 4 Sc 3.14
4 W 0.5000 0.5000 0.7926  4 Sc 2.94, 6 Tl 2.97-3.20

Computed properties:
The total magnetic moment is 0.00 μB per formula unit. The calculation puts the relative energy among the computed polymorphs at 67 meV per atom. The value obtained for the density of states at the Fermi level is 0.599 states/eV/atom.

[6]
ScTlW2: optimized geometry, GGA-PBE.

Cell lengths 5.5443, 5.5443, 5.5443 Å; angles 143.33, 132.30, 61.63 degrees
Last column: nearest neighbours and their distance in Å.
Sites, in units of the cell vectors:
1 Sc 0.0000 0.0000 0.0000  4 Tl 2.84, 4 W 2.94
2 Tl 0.5000 0.5000 0.0000  4 Sc 2.84, 4 W 2.97
3 W 0.2479 0.7479 0.5000  4 W 2.84, 2 Sc 2.94, 2 Tl 2.97
4 W 0.7521 0.2521 0.5000  4 W 2.84, 2 Sc 2.94, 2 Tl 2.97

Computed properties:
The total magnetic moment is 0.00 μB per formula unit. Its raw total energy is -8.138 eV per atom. The value obtained for the density of states at the Fermi level is 0.757 states/eV/atom.

[7]
Sc2TlW: optimized geometry, GGA-PBE.

Cell lengths 9.8586, 9.8586, 9.8586 Å; angles 18.54, 18.54, 18.54 degrees
Last column: nearest neighbours and their distance in Å.
Sites, in units of the cell vectors:
1 Sc 0.2439 0.2439 0.2439  3 W 2.90, 6 Sc 3.18, 3 Tl 3.18
2 Sc 0.7561 0.7561 0.7561  3 W 2.90, 6 Sc 3.18, 3 Tl 3.18
3 Tl 0.0000 0.0000 0.0000  6 Tl 3.18, 6 Sc 3.18
4 W 0.5000 0.5000 0.5000  6 Sc 2.90, 6 W 3.18

Computed properties:
The total magnetic moment is 0.00 μB per formula unit. The calculation puts the relative energy among the computed polymorphs at 120 meV per atom. The value obtained for the density of states at the Fermi level is 0.997 states/eV/atom.

[8]
ScTlW2: optimized geometry, GGA-PBE.

Cell lengths 2.8561, 4.6766, 5.8333 Å; angles 90.00, 90.00, 90.00 degrees
Last column: nearest neighbours and their distance in Å.
Sites, in units of the cell vectors:
1 Sc 0.0000 0.0000 0.0000  2 Sc 2.86, 2 Tl 2.92, 8 W 3.01
2 Tl 0.0000 0.0000 0.5000  2 Tl 2.86, 2 Sc 2.92
3 W 0.5000 0.5000 0.2156  1 W 2.52
4 W 0.5000 0.5000 0.7844  1 W 2.52

Computed properties:
The total magnetic moment is 0.00 μB per formula unit. Its raw total energy is -8.007 eV per atom. The value obtained for the density of states at the Fermi level is 0.827 states/eV/atom.